Entry 1:
Compound: SmHoTh2S4
Source: the Alexandria database
Functional: PBE-GGA
Structure: relaxed

```
data_SmHoTh2S4
_space_group_name_H-M_alt 'P 1 2/m 1'
_space_group_IT_number 10
_cell_length_a 6.823
_cell_length_b 3.981
_cell_length_c 7.028
_cell_angle_alpha 90.00
_cell_angle_beta 109.14
_cell_angle_gamma 90.00
loop_
_space_group_symop_operation_xyz
'x,y,z'
'-x,-y,-z'
'-x,y,-z'
'x,-y,z'
loop_
_atom_site_label
_atom_site_type_symbol
_atom_site_fract_x
_atom_site_fract_y
_atom_site_fract_z
Sm1 Sm 0.000 0.000 0.000
Ho1 Ho 0.500 0.500 0.000
Th1 Th 0.000 0.500 0.500
Th2 Th 0.500 0.000 0.500
S1 S 0.252 0.500 0.240
S2 S 0.259 0.000 0.764
```

Calculated values
Formation energy (no corrections): -183.8 kJ per mole of atoms
Magnetization: 0.0000 μB per atom
ρ: 8.4 g/cm³

***

Entry 2:
Compound: Sm2HoThS4
Source: the Alexandria database
Functional: PBE-GGA
Structure: relaxed

```
data_Sm2HoThS4
_space_group_name_H-M_alt 'P 1 2/m 1'
_space_group_IT_number 10
_cell_length_a 6.899
_cell_length_b 3.963
_cell_length_c 6.951
_cell_angle_alpha 90.00
_cell_angle_beta 109.20
_cell_angle_gamma 90.00
loop_
_space_group_symop_operation_xyz
'x,y,z'
'-x,-y,-z'
'-x,y,-z'
'x,-y,z'
loop_
_atom_site_label
_atom_site_type_symbol
_atom_site_fract_x
_atom_site_fract_y
_atom_site_fract_z
Sm1 Sm 0.000 0.000 0.000
Sm2 Sm 0.000 0.500 0.500
Ho1 Ho 0.500 0.000 0.500
Th1 Th 0.500 0.500 0.000
S1 S 0.251 0.000 0.743
S2 S 0.257 0.500 0.260
```

Calculated values
Formation energy (no corrections): -188.4 kJ per mole of atoms
Magnetization: 0.0000 μB per atom
ρ: 7.6 g/cm³

***

Entry 3:
Compound: Sm3HoTh4S8
Source: the Alexandria database
Functional: PBE-GGA
Structure: relaxed

```
data_Sm3HoTh4S8
_space_group_name_H-M_alt 'R -3 m'
_space_group_IT_number 166
_space_group_name_Hall '-R 3 2"'
_cell_length_a 7.9128
_cell_length_b 7.9128
_cell_length_c 20.1533
_cell_angle_alpha 90.00
_cell_angle_beta 90.00
_cell_angle_gamma 120.00
loop_
_atom_site_label
_atom_site_type_symbol
_atom_site_fract_x
_atom_site_fract_y
_atom_site_fract_z
Sm1 Sm 0.0000 0.5000 0.0000
Ho1 Ho 0.0000 0.0000 0.0000
Th1 Th 0.0000 0.0000 0.5000
Th2 Th 0.0000 0.5000 0.5000
S1 S 0.0000 0.0000 0.2522
S2 S 0.0052 0.5026 0.7466
```

Calculated values
Formation energy (no corrections): -185.2 kJ per mole of atoms
Magnetization: 0.0000 μB per atom
ρ: 8.2 g/cm³

***

Entry 4:
Compound: SmHo3Th4S8
Source: the Alexandria database
Functional: PBE-GGA
Structure: relaxed

```
data_SmHo3Th4S8
_space_group_name_H-M_alt 'R -3 m'
_space_group_IT_number 166
_space_group_name_Hall '-R 3 2"'
_cell_length_a 7.8245
_cell_length_b 7.8245
_cell_length_c 20.1536
_cell_angle_alpha 90.00
_cell_angle_beta 90.00
_cell_angle_gamma 120.00
loop_
_atom_site_label
_atom_site_type_symbol
_atom_site_fract_x
_atom_site_fract_y
_atom_site_fract_z
Sm1 Sm 0.0000 0.0000 0.0000
Ho1 Ho 0.0000 0.5000 0.0000
Th1 Th 0.0000 0.0000 0.5000
Th2 Th 0.0000 0.5000 0.5000
S1 S 0.0000 0.0000 0.2560
S2 S 0.0051 0.5026 0.2548
```

Calculated values
Formation energy (no corrections): -184.3 kJ per mole of atoms
Magnetization: 0.0000 μB per atom
ρ: 8.5 g/cm³

***

Entry 5:
Compound: Sm2HoTl3S6
Source: the Alexandria database
Functional: PBE-GGA
Structure: relaxed

```
data_Sm2HoTl3S6
_space_group_name_H-M_alt 'C 1 2/m 1'
_space_group_IT_number 12
_cell_length_a 7.082
_cell_length_b 12.265
_cell_length_c 7.873
_cell_angle_alpha 90.00
_cell_angle_beta 107.45
_cell_angle_gamma 90.00
loop_
_space_group_symop_operation_xyz
'x,y,z'
'-x,-y,-z'
'-x,y,-z'
'x,-y,z'
'x+1/2,y+1/2,z'
'-x+1/2,-y+1/2,-z'
'-x+1/2,y+1/2,-z'
'x+1/2,-y+1/2,z'
loop_
_atom_site_label
_atom_site_type_symbol
_atom_site_fract_x
_atom_site_fract_y
_atom_site_fract_z
Sm1 Sm 0.000 0.167 0.000
Ho1 Ho 0.000 0.500 0.000
Tl1 Tl 0.000 0.000 0.500
Tl2 Tl 0.000 0.332 0.500
S1 S 0.230 0.337 0.200
S2 S 0.241 0.000 0.201
```

Calculated values
Formation energy (no corrections): -142.3 kJ per mole of atoms
Magnetization: 0.0000 μB per atom
ρ: 6.5 g/cm³

***

Entry 6:
Compound: SmHo2TmS4
Source: the Alexandria database
Functional: PBE-GGA
Structure: relaxed

```
data_SmHo2TmS4
_space_group_name_H-M_alt 'P 1 2/m 1'
_space_group_IT_number 10
_cell_length_a 6.760
_cell_length_b 3.866
_cell_length_c 6.820
_cell_angle_alpha 90.00
_cell_angle_beta 108.97
_cell_angle_gamma 90.00
loop_
_space_group_symop_operation_xyz
'x,y,z'
'-x,-y,-z'
'-x,y,-z'
'x,-y,z'
loop_
_atom_site_label
_atom_site_type_symbol
_atom_site_fract_x
_atom_site_fract_y
_atom_site_fract_z
Sm1 Sm 0.000 0.000 0.000
Ho1 Ho 0.500 0.000 0.500
Ho2 Ho 0.500 0.500 0.000
Tm1 Tm 0.000 0.500 0.500
S1 S 0.251 0.000 0.743
S2 S 0.256 0.500 0.259
```

Calculated values
Formation energy (no corrections): -190.0 kJ per mole of atoms
Magnetization: 0.0000 μB per atom
ρ: 7.7 g/cm³

***

Entry 7:
Compound: Sm2HoTm3S6
Source: the Alexandria database
Functional: PBE-GGA
Structure: relaxed

```
data_Sm2HoTm3S6
_space_group_name_H-M_alt 'C 1 2/m 1'
_space_group_IT_number 12
_cell_length_a 17.050
_cell_length_b 3.882
_cell_length_c 7.873
_cell_angle_alpha 90.00
_cell_angle_beta 104.05
_cell_angle_gamma 90.00
loop_
_space_group_symop_operation_xyz
'x,y,z'
'-x,-y,-z'
'-x,y,-z'
'x,-y,z'
'x+1/2,y+1/2,z'
'-x+1/2,-y+1/2,-z'
'-x+1/2,y+1/2,-z'
'x+1/2,-y+1/2,z'
loop_
_atom_site_label
_atom_site_type_symbol
_atom_site_fract_x
_atom_site_fract_y
_atom_site_fract_z
Sm1 Sm 0.168 0.000 0.335
Ho1 Ho 0.000 0.500 0.000
Tm1 Tm 0.000 0.500 0.500
Tm2 Tm 0.168 0.000 0.833
S1 S 0.004 0.000 0.749
S2 S 0.163 0.500 0.592
S3 S 0.167 0.500 0.072
```

Calculated values
Formation energy (no corrections): -190.2 kJ per mole of atoms
Magnetization: 0.0000 μB per atom
ρ: 7.7 g/cm³

***

Entry 8:
Compound: Sm3Ho2TmS6
Source: the Alexandria database
Functional: PBE-GGA
Structure: relaxed

```
data_Sm3Ho2TmS6
_space_group_name_H-M_alt 'C 1 2/m 1'
_space_group_IT_number 12
_cell_length_a 6.779
_cell_length_b 11.784
_cell_length_c 6.878
_cell_angle_alpha 90.00
_cell_angle_beta 109.23
_cell_angle_gamma 90.00
loop_
_space_group_symop_operation_xyz
'x,y,z'
'-x,-y,-z'
'-x,y,-z'
'x,-y,z'
'x+1/2,y+1/2,z'
'-x+1/2,-y+1/2,-z'
'-x+1/2,y+1/2,-z'
'x+1/2,-y+1/2,z'
loop_
_atom_site_label
_atom_site_type_symbol
_atom_site_fract_x
_atom_site_fract_y
_atom_site_fract_z
Sm1 Sm 0.000 0.000 0.000
Sm2 Sm 0.000 0.332 0.000
Ho1 Ho 0.000 0.167 0.500
Tm1 Tm 0.000 0.500 0.500
S1 S 0.244 0.335 0.736
S2 S 0.248 0.000 0.737
```

Calculated values
Formation energy (no corrections): -192.9 kJ per mole of atoms
Magnetization: 0.0000 μB per atom
ρ: 7.3 g/cm³

***

Entry 9:
Compound: SmHoTm2S6
Source: the Alexandria database
Functional: PBE-GGA
Structure: relaxed

```
data_SmHoTm2S6
_space_group_name_H-M_alt 'R 3'
_space_group_IT_number 146
_space_group_name_Hall 'R 3'
_cell_length_a 6.8958
_cell_length_b 6.8958
_cell_length_c 18.4268
_cell_angle_alpha 90.00
_cell_angle_beta 90.00
_cell_angle_gamma 120.00
loop_
_atom_site_label
_atom_site_type_symbol
_atom_site_fract_x
_atom_site_fract_y
_atom_site_fract_z
Sm1 Sm 0.0000 0.0000 0.0000
Ho1 Ho 0.0000 0.0000 0.4962
Tm1 Tm 0.0000 0.0000 0.2954
Tm2 Tm 0.0000 0.0000 0.7977
S1 S 0.0072 0.3074 0.8939
S2 S 0.0183 0.7124 0.3946
```

Calculated values
Formation energy (no corrections): -198.1 kJ per mole of atoms
Magnetization: 0.0000 μB per atom
ρ: 5.6 g/cm³

***

Entry 10:
Compound: Sm3Ho3TmS8
Source: the Alexandria database
Functional: PBE-GGA
Structure: relaxed

```
data_Sm3Ho3TmS8
_space_group_name_H-M_alt 'R -3 m'
_space_group_IT_number 166
_space_group_name_Hall '-R 3 2"'
_cell_length_a 7.8403
_cell_length_b 7.8403
_cell_length_c 19.4108
_cell_angle_alpha 90.00
_cell_angle_beta 90.00
_cell_angle_gamma 120.00
loop_
_atom_site_label
_atom_site_type_symbol
_atom_site_fract_x
_atom_site_fract_y
_atom_site_fract_z
Sm1 Sm 0.0000 0.5000 0.0000
Ho1 Ho 0.0000 0.5000 0.5000
Tm1 Tm 0.0000 0.0000 0.5000
S1 S 0.0000 0.0000 0.2463
S2 S 0.0005 0.5002 0.2462
```

Calculated values
Formation energy (no corrections): -197.8 kJ per mole of atoms
Magnetization: 0.0000 μB per atom
ρ: 6.6 g/cm³

***

no.,final energy (eV per atom)
1,-6.986
2,-6.696
3,-7.009
4,-6.982
5,-5.298
6,-6.326
7,-6.321
8,-6.378
9,-6.354
10,-6.409